Crystalline TaIr2W at its relaxed geometry, computed with PBEsol.

Output
Its formation energy is -327 meV/atom. The calculation puts the calculated volume at 15.3 A^3/atom. The calculation puts the electronic total energy at -94.62 eV/cell. As for the excess energy over the best structure of this formula in the dataset: 0.1207 eV per atom.

Cell lengths 9.194, 2.803, 4.818 Å; angles 90.00, 99.04, 90.00 degrees
Space group Cm (No. 8)
Asymmetric unit:
Ta (0.000, 0.000, 0.000) x2
Ir (0.007, 0.500, 0.501) x2
Ir (0.253, 0.000, 0.798) x2
W (0.264, 0.500, 0.311) x2